Record 1
VASP calculation (PBE-GGA) on RbSm2Co after structural relaxation.

Computed properties:
Space-group type: R-3m, No. 166
Raw total energy (eV/atom): -4.265
ΔH_f (0 K) (eV per atom): 0.11
Magnetic moment (μB per formula unit): 0.00
DOS at the Fermi energy (states/eV/f.u.): 4.2

```
RbSm2Co
1.0
2.021 1.167 11.265
-2.021 1.167 11.265
0.000 -2.334 11.265
Rb Sm Co
1 2 1
direct
0.000 0.000 0.000
0.125 0.125 0.125
0.875 0.875 0.875
0.500 0.500 0.500
```

Record 2
VASP calculation (PBE-GGA) on RbCo2Sn2 after structural relaxation.

Computed properties:
Space-group type: I4/mmm, No. 139
Raw total energy (eV/atom): -4.282
ΔH_f (0 K) (eV per atom): 0.36
Magnetic moment (μB per formula unit): 1.58
DOS at the Fermi energy (states/eV/f.u.): 5.9

```
RbCo2Sn2
1.0
-2.342 2.342 5.075
2.342 -2.342 5.075
2.342 2.342 -5.075
Rb Co Sn
1 2 2
direct
0.000 0.000 0.000
0.386 0.386 0.000
0.614 0.614 0.000
0.250 0.750 0.500
0.750 0.250 0.500
```

Record 3
VASP calculation (PBE-GGA) on Rb2CoSn after structural relaxation.

Computed properties:
Space-group type: I-42d, No. 122
Raw total energy (eV/atom): -2.084
ΔH_f (0 K) (eV per atom): 1.18
Magnetic moment (μB per formula unit): 5.00
DOS at the Fermi energy (states/eV/f.u.): 0.0

```
Rb2CoSn
1.0
-4.299 4.299 8.104
4.299 -4.299 8.104
4.299 4.299 -8.104
Rb Co Sn
4 2 2
direct
0.100 0.625 0.975
0.375 0.350 0.475
0.650 0.125 0.025
0.875 0.900 0.525
0.000 0.000 0.000
0.750 0.250 0.500
0.250 0.750 0.500
0.500 0.500 0.000
```

Record 4
VASP calculation (PBE-GGA) on Rb2CoSn2 after structural relaxation.

Computed properties:
Space-group type: P4/mbm, No. 127
Raw total energy (eV/atom): -3.219
ΔH_f (0 K) (eV per atom): 0.19
Magnetic moment (μB per formula unit): 0.00
DOS at the Fermi energy (states/eV/f.u.): 1.9

```
Rb2CoSn2
1.0
6.939 0.000 0.000
0.000 6.939 0.000
0.000 0.000 6.373
Rb Co Sn
4 2 4
direct
0.174 0.326 0.000
0.326 0.826 0.000
0.674 0.174 0.000
0.826 0.674 0.000
0.000 0.000 0.500
0.500 0.500 0.500
0.172 0.672 0.500
0.328 0.172 0.500
0.672 0.828 0.500
0.828 0.328 0.500
```

Record 5
VASP calculation (PBE-GGA) on Rb2CoSn2 after structural relaxation.

Computed properties:
Space-group type: P4/mbm, No. 127
Raw total energy (eV/atom): -2.679
ΔH_f (0 K) (eV per atom): 0.73
Magnetic moment (μB per formula unit): 2.15
DOS at the Fermi energy (states/eV/f.u.): 4.8

```
Rb2CoSn2
1.0
11.022 0.000 0.000
0.000 11.022 0.000
0.000 0.000 3.181
Rb Co Sn
4 2 4
direct
0.205 0.295 0.000
0.295 0.795 0.000
0.705 0.205 0.000
0.795 0.705 0.000
0.000 0.000 0.000
0.500 0.500 0.000
0.092 0.592 0.500
0.408 0.092 0.500
0.592 0.908 0.500
0.908 0.408 0.500
```

Record 6
VASP calculation (PBE-GGA) on RbSrCoSn2 after structural relaxation.

Computed properties:
Space-group type: P4/mmm, No. 123
Raw total energy (eV/atom): -2.648
ΔH_f (0 K) (eV per atom): 0.90
Magnetic moment (μB per formula unit): 1.16
DOS at the Fermi energy (states/eV/f.u.): 9.4

```
RbSrCoSn2
1.0
6.260 0.000 0.000
0.000 6.260 0.000
0.000 0.000 5.239
Rb Sr Co Sn
1 1 1 2
direct
0.000 0.000 0.000
0.500 0.500 0.500
0.500 0.500 0.000
0.000 0.500 0.500
0.500 0.000 0.500
```

Record 7
VASP calculation (PBE-GGA) on RbZn2CoSn after structural relaxation.

Computed properties:
Space-group type: P4/mmm, No. 123
Raw total energy (eV/atom): -2.884
ΔH_f (0 K) (eV per atom): 0.04
Magnetic moment (μB per formula unit): 0.00
DOS at the Fermi energy (states/eV/f.u.): 1.8

```
RbZn2CoSn
1.0
4.939 0.000 0.000
0.000 4.939 0.000
0.000 0.000 4.821
Rb Zn Co Sn
1 2 1 1
direct
0.000 0.000 0.000
0.000 0.500 0.500
0.500 0.000 0.500
0.500 0.500 0.500
0.500 0.500 0.000
```

Record 8
VASP calculation (PBE-GGA) on RbZr2CoSn after structural relaxation.

Computed properties:
Space-group type: P4/mmm, No. 123
Raw total energy (eV/atom): -5.164
ΔH_f (0 K) (eV per atom): 0.67
Magnetic moment (μB per formula unit): 0.00
DOS at the Fermi energy (states/eV/f.u.): 5.0

```
RbZr2CoSn
1.0
4.989 0.000 0.000
0.000 4.989 0.000
0.000 0.000 5.124
Rb Zr Co Sn
1 2 1 1
direct
0.000 0.000 0.000
0.000 0.500 0.500
0.500 0.000 0.500
0.000 0.000 0.500
0.500 0.500 0.000
```

Record 9
VASP calculation (PBE-GGA) on RbZrCo2Sn after structural relaxation.

Computed properties:
Space-group type: P4/mmm, No. 123
Raw total energy (eV/atom): -4.166
ΔH_f (0 K) (eV per atom): 1.38
Magnetic moment (μB per formula unit): 1.10
DOS at the Fermi energy (states/eV/f.u.): 4.8

```
RbZrCo2Sn
1.0
4.745 0.000 0.000
0.000 4.745 0.000
0.000 0.000 5.769
Rb Zr Co Sn
1 1 2 1
direct
0.000 0.000 0.000
0.000 0.000 0.500
0.000 0.500 0.500
0.500 0.000 0.500
0.500 0.500 0.000
```

Record 10
VASP calculation (PBE-GGA) on Rb2SrCo2 after structural relaxation.

Computed properties:
Space-group type: I4/mmm, No. 139
Raw total energy (eV/atom): -2.243
ΔH_f (0 K) (eV per atom): 1.32
Magnetic moment (μB per formula unit): 2.85
DOS at the Fermi energy (states/eV/f.u.): 21.0

```
Rb2SrCo2
1.0
-2.919 2.919 5.507
2.919 -2.919 5.507
2.919 2.919 -5.507
Rb Sr Co
2 1 2
direct
0.145 0.145 0.000
0.855 0.855 0.000
0.500 0.500 0.000
0.250 0.750 0.500
0.750 0.250 0.500
```

Record 11
VASP calculation (PBE-GGA) on Rb2SrCo2 after structural relaxation.

Computed properties:
Space-group type: P4/mbm, No. 127
Raw total energy (eV/atom): -2.374
ΔH_f (0 K) (eV per atom): 1.19
Magnetic moment (μB per formula unit): 3.38
DOS at the Fermi energy (states/eV/f.u.): 9.0

```
Rb2SrCo2
1.0
9.715 0.000 0.000
0.000 9.715 0.000
0.000 0.000 3.780
Rb Sr Co
4 2 4
direct
0.123 0.377 0.000
0.377 0.877 0.000
0.623 0.123 0.000
0.877 0.623 0.000
0.000 0.000 0.000
0.500 0.500 0.000
0.185 0.685 0.500
0.315 0.185 0.500
0.685 0.815 0.500
0.815 0.315 0.500
```

Record 12
VASP calculation (PBE-GGA) on Rb2SrCo after structural relaxation.

Computed properties:
Space-group type: I-42d, No. 122
Raw total energy (eV/atom): -1.483
ΔH_f (0 K) (eV per atom): 1.20
Magnetic moment (μB per formula unit): 1.00
DOS at the Fermi energy (states/eV/f.u.): 11.6

```
Rb2SrCo
1.0
-4.830 4.830 6.899
4.830 -4.830 6.899
4.830 4.830 -6.899
Rb Sr Co
4 2 2
direct
0.375 0.126 0.251
0.874 0.125 0.249
0.875 0.124 0.749
0.876 0.625 0.751
0.250 0.750 0.500
0.500 0.500 0.000
0.000 0.000 0.000
0.750 0.250 0.500
```

Record 13
VASP calculation (PBE-GGA) on Rb2SrCo after structural relaxation.

Computed properties:
Space-group type: Fm-3m, No. 225
Raw total energy (eV/atom): -1.697
ΔH_f (0 K) (eV per atom): 0.98
Magnetic moment (μB per formula unit): 1.55
DOS at the Fermi energy (states/eV/f.u.): 10.9

```
Rb2SrCo
1.0
0.000 4.601 4.601
4.601 0.000 4.601
4.601 4.601 0.000
Rb Sr Co
2 1 1
direct
0.250 0.250 0.250
0.750 0.750 0.750
0.000 0.000 0.000
0.500 0.500 0.500
```

Record 14
VASP calculation (PBE-GGA) on Rb2SrZrCo after structural relaxation.

Computed properties:
Space-group type: P4/mmm, No. 123
Raw total energy (eV/atom): -2.981
ΔH_f (0 K) (eV per atom): 0.87
Magnetic moment (μB per formula unit): 0.00
DOS at the Fermi energy (states/eV/f.u.): 6.4

```
Rb2SrZrCo
1.0
7.010 0.000 0.000
0.000 7.010 0.000
0.000 0.000 4.610
Rb Sr Zr Co
2 1 1 1
direct
0.000 0.500 0.000
0.500 0.000 0.000
0.000 0.000 0.500
0.500 0.500 0.500
0.500 0.500 0.000
```

Record 15
VASP calculation (PBE-GGA) on RbTa3Co after structural relaxation.

Computed properties:
Space-group type: Pm-3m, No. 221
Raw total energy (eV/atom): -5.277
ΔH_f (0 K) (eV per atom): 3.45
Magnetic moment (μB per formula unit): 2.45
DOS at the Fermi energy (states/eV/f.u.): 8.8

```
RbTa3Co
1.0
4.745 0.000 0.000
0.000 4.745 0.000
0.000 0.000 4.745
Rb Ta Co
1 3 1
direct
0.000 0.000 0.000
0.000 0.000 0.500
0.000 0.500 0.000
0.500 0.000 0.000
0.500 0.500 0.500
```

Record 16
VASP calculation (PBE-GGA) on RbTa2Co after structural relaxation.

Computed properties:
Space-group type: Fm-3m, No. 225
Raw total energy (eV/atom): -6.286
ΔH_f (0 K) (eV per atom): 1.66
Magnetic moment (μB per formula unit): 0.00
DOS at the Fermi energy (states/eV/f.u.): 3.4

```
RbTa2Co
1.0
0.000 3.285 3.285
3.285 0.000 3.285
3.285 3.285 0.000
Rb Ta Co
1 2 1
direct
0.000 0.000 0.000
0.250 0.250 0.250
0.750 0.750 0.750
0.500 0.500 0.500
```

Record 17
VASP calculation (PBE-GGA) on Rb2Ta4Co after structural relaxation.

Computed properties:
Space-group type: I4/mmm, No. 139
Raw total energy (eV/atom): -6.460
ΔH_f (0 K) (eV per atom): 1.60
Magnetic moment (μB per formula unit): 1.30
DOS at the Fermi energy (states/eV/f.u.): 9.5

```
Rb2Ta4Co
1.0
-2.345 2.345 10.729
2.345 -2.345 10.729
2.345 2.345 -10.729
Rb Ta Co
2 4 1
direct
0.177 0.177 0.000
0.823 0.823 0.000
0.000 0.500 0.500
0.400 0.400 0.000
0.500 0.000 0.500
0.600 0.600 0.000
0.500 0.500 0.000
```

Record 18
VASP calculation (PBE-GGA) on RbTa3Co after structural relaxation.

Computed properties:
Space-group type: Pm-3m, No. 221
Raw total energy (eV/atom): -7.335
ΔH_f (0 K) (eV per atom): 1.39
Magnetic moment (μB per formula unit): 0.92
DOS at the Fermi energy (states/eV/f.u.): 3.0

```
RbTa3Co
1.0
4.797 0.000 0.000
0.000 4.797 0.000
0.000 0.000 4.797
Rb Ta Co
1 3 1
direct
0.000 0.000 0.000
0.000 0.500 0.500
0.500 0.000 0.500
0.500 0.500 0.000
0.500 0.500 0.500
```

Record 19
VASP calculation (PBE-GGA) on RbTaCo3 after structural relaxation.

Computed properties:
Space-group type: Pm-3m, No. 221
Raw total energy (eV/atom): -4.198
ΔH_f (0 K) (eV per atom): 2.63
Magnetic moment (μB per formula unit): 0.00
DOS at the Fermi energy (states/eV/f.u.): 9.3

```
RbTaCo3
1.0
4.387 0.000 0.000
0.000 4.387 0.000
0.000 0.000 4.387
Rb Ta Co
1 1 3
direct
0.000 0.000 0.000
0.500 0.500 0.500
0.000 0.000 0.500
0.000 0.500 0.000
0.500 0.000 0.000
```

Record 20
VASP calculation (PBE-GGA) on RbTaCo3 after structural relaxation.

Computed properties:
Space-group type: Pm-3m, No. 221
Raw total energy (eV/atom): -5.461
ΔH_f (0 K) (eV per atom): 1.37
Magnetic moment (μB per formula unit): 1.26
DOS at the Fermi energy (states/eV/f.u.): 4.9

```
RbTaCo3
1.0
4.721 0.000 0.000
0.000 4.721 0.000
0.000 0.000 4.721
Rb Ta Co
1 1 3
direct
0.000 0.000 0.000
0.500 0.500 0.500
0.000 0.500 0.500
0.500 0.000 0.500
0.500 0.500 0.000
```

Record 21
VASP calculation (PBE-GGA) on RbTaCo2 after structural relaxation.

Computed properties:
Space-group type: Fm-3m, No. 225
Raw total energy (eV/atom): -5.317
ΔH_f (0 K) (eV per atom): 1.44
Magnetic moment (μB per formula unit): 0.34
DOS at the Fermi energy (states/eV/f.u.): 3.1

```
RbTaCo2
1.0
0.000 3.259 3.259
3.259 0.000 3.259
3.259 3.259 0.000
Rb Ta Co
1 1 2
direct
0.000 0.000 0.000
0.500 0.500 0.500
0.250 0.250 0.250
0.750 0.750 0.750
```

Record 22
VASP calculation (PBE-GGA) on Rb2TaCo after structural relaxation.

Computed properties:
Space-group type: I-42d, No. 122
Raw total energy (eV/atom): -3.828
ΔH_f (0 K) (eV per atom): 1.40
Magnetic moment (μB per formula unit): 0.60
DOS at the Fermi energy (states/eV/f.u.): 6.6

```
Rb2TaCo
1.0
-6.629 6.629 2.243
6.629 -6.629 2.243
6.629 6.629 -2.243
Rb Ta Co
4 2 2
direct
0.375 0.198 0.323
0.802 0.125 0.177
0.875 0.052 0.677
0.948 0.625 0.823
0.250 0.750 0.500
0.500 0.500 0.000
0.000 0.000 0.000
0.750 0.250 0.500
```

Record 23
VASP calculation (PBE-GGA) on Rb2TaCo after structural relaxation.

Computed properties:
Space-group type: Fm-3m, No. 225
Raw total energy (eV/atom): -3.019
ΔH_f (0 K) (eV per atom): 2.20
Magnetic moment (μB per formula unit): 2.12
DOS at the Fermi energy (states/eV/f.u.): 10.0

```
Rb2TaCo
1.0
0.000 4.214 4.214
4.214 0.000 4.214
4.214 4.214 0.000
Rb Ta Co
2 1 1
direct
0.250 0.250 0.250
0.750 0.750 0.750
0.000 0.000 0.000
0.500 0.500 0.500
```

Record 24
VASP calculation (PBE-GGA) on RbTaCo2 after structural relaxation.

Computed properties:
Space-group type: I-42d, No. 122
Raw total energy (eV/atom): -5.461
ΔH_f (0 K) (eV per atom): 1.30
Magnetic moment (μB per formula unit): 0.00
DOS at the Fermi energy (states/eV/f.u.): 1.7

```
RbTaCo2
1.0
-3.591 3.591 3.405
3.591 -3.591 3.405
3.591 3.591 -3.405
Rb Ta Co
2 2 4
direct
0.000 0.000 0.000
0.750 0.250 0.500
0.250 0.750 0.500
0.500 0.500 0.000
0.198 0.625 0.073
0.375 0.448 0.573
0.552 0.125 0.927
0.875 0.802 0.427
```

Record 25
VASP calculation (PBE-GGA) on RbTa2Co after structural relaxation.

Computed properties:
Space-group type: I4_1/amd, No. 141
Raw total energy (eV/atom): -6.277
ΔH_f (0 K) (eV per atom): 1.67
Magnetic moment (μB per formula unit): 0.00
DOS at the Fermi energy (states/eV/f.u.): 6.8

```
RbTa2Co
1.0
-2.733 2.733 7.916
2.733 -2.733 7.916
2.733 2.733 -7.916
Rb Ta Co
2 4 2
direct
0.375 0.625 0.750
0.625 0.375 0.250
0.000 0.000 0.000
0.000 0.000 0.500
0.000 0.500 0.000
0.500 0.000 0.500
0.125 0.875 0.250
0.875 0.125 0.750
```

Record 26
VASP calculation (PBE-GGA) on Rb2TaCoW after structural relaxation.

Computed properties:
Space-group type: P4/mmm, No. 123
Raw total energy (eV/atom): -4.262
ΔH_f (0 K) (eV per atom): 2.51
Magnetic moment (μB per formula unit): 5.85
DOS at the Fermi energy (states/eV/f.u.): 10.2

```
Rb2TaCoW
1.0
6.492 0.000 0.000
0.000 6.492 0.000
0.000 0.000 4.376
Rb Ta Co W
2 1 1 1
direct
0.000 0.500 0.000
0.500 0.000 0.000
0.000 0.000 0.500
0.500 0.500 0.000
0.500 0.500 0.500
```

Record 27
VASP calculation (PBE-GGA) on RbTb2Co after structural relaxation.

Computed properties:
Space-group type: R-3m, No. 166
Raw total energy (eV/atom): -4.233
ΔH_f (0 K) (eV per atom): 0.10
Magnetic moment (μB per formula unit): 0.00
DOS at the Fermi energy (states/eV/f.u.): 4.0

```
RbTb2Co
1.0
1.990 1.149 11.083
-1.990 1.149 11.083
0.000 -2.298 11.083
Rb Tb Co
1 2 1
direct
0.000 0.000 0.000
0.125 0.125 0.125
0.875 0.875 0.875
0.500 0.500 0.500
```